# RbTlCd2Cl6, optimized geometry, DFT PBE-GGA
# raw total energy = -2.87 eV per atom
# uncorrected formation energy = -1.2442 eV/atom
data_RbTlCd2Cl6
_chemical_formula_sum 'Rb2 Tl2 Cd4 Cl12'
_symmetry_space_group_name_H-M 'P 1'
_symmetry_Int_Tables_number 1
_cell_length_a 9.926
_cell_length_b 9.926
_cell_length_c 7.596
_cell_angle_alpha 98.04
_cell_angle_beta 98.04
_cell_angle_gamma 85.45
loop_
_symmetry_equiv_pos_as_xyz
'x,y,z'
loop_
_atom_site_label
_atom_site_type_symbol
_atom_site_fract_x
_atom_site_fract_y
_atom_site_fract_z
Rb1 Rb 0.099 0.901 0.750
Rb2 Rb 0.901 0.099 0.250
Tl1 Tl 0.302 0.698 0.250
Tl2 Tl 0.698 0.302 0.750
Cd1 Cd 0.196 0.377 0.740
Cd2 Cd 0.377 0.196 0.240
Cd3 Cd 0.623 0.804 0.760
Cd4 Cd 0.804 0.623 0.260
Cl1 Cl 0.012 0.217 0.666
Cl2 Cl 0.127 0.605 0.881
Cl3 Cl 0.217 0.012 0.166
Cl4 Cl 0.292 0.402 0.448
Cl5 Cl 0.395 0.873 0.619
Cl6 Cl 0.402 0.292 0.948
Cl7 Cl 0.598 0.708 0.052
Cl8 Cl 0.605 0.127 0.381
Cl9 Cl 0.708 0.598 0.552
Cl10 Cl 0.783 0.988 0.834
Cl11 Cl 0.873 0.395 0.119
Cl12 Cl 0.988 0.783 0.334

# Rb2TlCd2Cl7, optimized geometry, DFT PBE-GGA
# raw total energy = -2.95 eV per atom
# uncorrected formation energy = -1.3639 eV/atom
data_Rb2TlCd2Cl7
_chemical_formula_sum 'Rb2 Tl1 Cd2 Cl7'
_symmetry_space_group_name_H-M 'P 1'
_symmetry_Int_Tables_number 1
_cell_length_a 13.815
_cell_length_b 13.815
_cell_length_c 13.815
_cell_angle_alpha 157.94
_cell_angle_beta 157.94
_cell_angle_gamma 31.40
loop_
_symmetry_equiv_pos_as_xyz
'x,y,z'
loop_
_atom_site_label
_atom_site_type_symbol
_atom_site_fract_x
_atom_site_fract_y
_atom_site_fract_z
Rb1 Rb 0.180 0.180 0.000
Rb2 Rb 0.820 0.820 0.000
Tl1 Tl 0.000 0.000 0.000
Cd1 Cd 0.400 0.400 0.000
Cd2 Cd 0.600 0.600 0.000
Cl1 Cl 0.095 0.595 0.500
Cl2 Cl 0.303 0.303 0.000
Cl3 Cl 0.405 0.905 0.500
Cl4 Cl 0.500 0.500 0.000
Cl5 Cl 0.595 0.095 0.500
Cl6 Cl 0.697 0.697 0.000
Cl7 Cl 0.905 0.405 0.500

# RbTl2CdCl8, optimized geometry, DFT PBE-GGA
# raw total energy = -2.72 eV per atom
# uncorrected formation energy = -0.9345 eV/atom
data_RbTl2CdCl8
_chemical_formula_sum 'Rb1 Tl2 Cd1 Cl8'
_symmetry_space_group_name_H-M 'P 1'
_symmetry_Int_Tables_number 1
_cell_length_a 10.325
_cell_length_b 10.325
_cell_length_c 10.325
_cell_angle_alpha 38.64
_cell_angle_beta 38.64
_cell_angle_gamma 38.64
loop_
_symmetry_equiv_pos_as_xyz
'x,y,z'
loop_
_atom_site_label
_atom_site_type_symbol
_atom_site_fract_x
_atom_site_fract_y
_atom_site_fract_z
Rb1 Rb 0.000 0.000 0.000
Tl1 Tl 0.242 0.242 0.242
Tl2 Tl 0.758 0.758 0.758
Cd1 Cd 0.500 0.500 0.500
Cl1 Cl 0.148 0.786 0.406
Cl2 Cl 0.214 0.594 0.852
Cl3 Cl 0.330 0.330 0.330
Cl4 Cl 0.406 0.148 0.786
Cl5 Cl 0.594 0.852 0.214
Cl6 Cl 0.670 0.670 0.670
Cl7 Cl 0.786 0.406 0.148
Cl8 Cl 0.852 0.214 0.594